# PmErIn, relaxed, DFT PBE-GGA
data_PmErIn
_chemical_formula_sum 'Pm2 Er2 In2'
_cell_length_a 9.0850
_cell_length_b 9.0850
_cell_length_c 9.0850
_cell_angle_alpha 150.48
_cell_angle_beta 150.48
_cell_angle_gamma 42.23
_symmetry_space_group_name_H-M 'P 1'
_symmetry_Int_Tables_number 1
loop_
_symmetry_equiv_pos_as_xyz
'x,y,z'
loop_
_atom_site_label
_atom_site_type_symbol
_atom_site_fract_x
_atom_site_fract_y
_atom_site_fract_z
Pm1 Pm 0.0000 0.5000 0.5000
Pm2 Pm 0.5000 0.0000 0.5000
Er1 Er 0.1779 0.1779 0.0000
Er2 Er 0.8221 0.8221 0.0000
In1 In 0.3609 0.3609 0.0000
In2 In 0.6391 0.6391 0.0000
# energy above the lowest structure with this stoichiometry: 0.32 eV/f.u.
# energy: -12.76 eV per formula unit
# space group: No. 139
# volume: 30.26 A^3/atom

=====

# Pm8Er5In, relaxed, DFT PBE-GGA
data_Pm8Er5In
_chemical_formula_sum 'Pm8 Er5 In1'
_cell_length_a 8.7928
_cell_length_b 8.7928
_cell_length_c 8.4402
_cell_angle_alpha 117.42
_cell_angle_beta 117.42
_cell_angle_gamma 56.93
_symmetry_space_group_name_H-M 'P 1'
_symmetry_Int_Tables_number 1
loop_
_symmetry_equiv_pos_as_xyz
'x,y,z'
loop_
_atom_site_label
_atom_site_type_symbol
_atom_site_fract_x
_atom_site_fract_y
_atom_site_fract_z
Pm1 Pm 0.0423 0.5903 0.4265
Pm2 Pm 0.1233 0.1233 0.1804
Pm3 Pm 0.2279 0.4185 0.7775
Pm4 Pm 0.4097 0.9577 0.5735
Pm5 Pm 0.5241 0.1134 0.0843
Pm6 Pm 0.5815 0.7721 0.2225
Pm7 Pm 0.8767 0.8767 0.8196
Pm8 Pm 0.8866 0.4759 0.9157
Er1 Er 0.2532 0.6527 0.2271
Er2 Er 0.3473 0.7468 0.7729
Er3 Er 0.5297 0.2715 0.5467
Er4 Er 0.7285 0.4703 0.4533
Er5 Er 0.9570 0.0430 0.5000
In1 In 0.6580 0.3420 0.0000
# energy: -62.14 eV per formula unit
# space group: No. 5
# volume: 33.27 A^3/atom

=====

# Pm2Er3In2, relaxed, DFT PBE-GGA
data_Pm2Er3In2
_chemical_formula_sum 'Pm2 Er3 In2'
_cell_length_a 5.4111
_cell_length_b 5.4111
_cell_length_c 8.6651
_cell_angle_alpha 108.26
_cell_angle_beta 108.26
_cell_angle_gamma 60.10
_symmetry_space_group_name_H-M 'P 1'
_symmetry_Int_Tables_number 1
loop_
_symmetry_equiv_pos_as_xyz
'x,y,z'
loop_
_atom_site_label
_atom_site_type_symbol
_atom_site_fract_x
_atom_site_fract_y
_atom_site_fract_z
Pm1 Pm 0.0772 0.0772 0.2312
Pm2 Pm 0.9228 0.9228 0.7688
Er1 Er 0.3476 0.3476 0.0431
Er2 Er 0.5000 0.5000 0.5000
Er3 Er 0.6524 0.6524 0.9569
In1 In 0.2173 0.2173 0.6520
In2 In 0.7827 0.7827 0.3480
# energy: -30.55 eV per formula unit
# space group: No. 12
# volume: 29.29 A^3/atom

=====

# Pm5Er2In, relaxed, DFT PBE-GGA
data_Pm5Er2In
_chemical_formula_sum 'Pm5 Er2 In1'
_cell_length_a 8.7982
_cell_length_b 8.7982
_cell_length_c 3.7005
_cell_angle_alpha 90.00
_cell_angle_beta 90.00
_cell_angle_gamma 116.68
_symmetry_space_group_name_H-M 'P 1'
_symmetry_Int_Tables_number 1
loop_
_symmetry_equiv_pos_as_xyz
'x,y,z'
loop_
_atom_site_label
_atom_site_type_symbol
_atom_site_fract_x
_atom_site_fract_y
_atom_site_fract_z
Pm1 Pm 0.0000 0.0000 0.0000
Pm2 Pm 0.1501 0.3947 0.5000
Pm3 Pm 0.3947 0.1501 0.5000
Pm4 Pm 0.6053 0.8499 0.5000
Pm5 Pm 0.8499 0.6053 0.5000
Er1 Er 0.2323 0.7677 0.0000
Er2 Er 0.7677 0.2323 0.0000
In1 In 0.5000 0.5000 0.0000
# energy above the lowest structure with this stoichiometry: 0.00 eV/f.u.
# energy: -36.29 eV per formula unit
# space group: No. 65
# volume: 31.99 A^3/atom

=====

# PmEr2In, relaxed, DFT PBE-GGA
data_PmEr2In
_chemical_formula_sum 'Pm1 Er2 In1'
_cell_length_a 5.4523
_cell_length_b 5.4523
_cell_length_c 5.4523
_cell_angle_alpha 60.00
_cell_angle_beta 60.00
_cell_angle_gamma 60.00
_symmetry_space_group_name_H-M 'P 1'
_symmetry_Int_Tables_number 1
loop_
_symmetry_equiv_pos_as_xyz
'x,y,z'
loop_
_atom_site_label
_atom_site_type_symbol
_atom_site_fract_x
_atom_site_fract_y
_atom_site_fract_z
Pm1 Pm 0.0000 0.0000 0.0000
Er1 Er 0.2500 0.2500 0.2500
Er2 Er 0.7500 0.7500 0.7500
In1 In 0.5000 0.5000 0.5000
# energy above the lowest structure with this stoichiometry: 0.70 eV/f.u.
# energy: -16.96 eV per formula unit
# space group: No. 225
# volume: 28.65 A^3/atom

=====

# PmEr3In, relaxed, DFT PBE-GGA
data_PmEr3In
_chemical_formula_sum 'Pm2 Er6 In2'
_cell_length_a 12.7932
_cell_length_b 12.7932
_cell_length_c 4.8166
_cell_angle_alpha 90.00
_cell_angle_beta 90.00
_cell_angle_gamma 158.24
_symmetry_space_group_name_H-M 'P 1'
_symmetry_Int_Tables_number 1
loop_
_symmetry_equiv_pos_as_xyz
'x,y,z'
loop_
_atom_site_label
_atom_site_type_symbol
_atom_site_fract_x
_atom_site_fract_y
_atom_site_fract_z
Pm1 Pm 0.1480 0.8520 0.7500
Pm2 Pm 0.8520 0.1480 0.2500
Er1 Er 0.0473 0.9527 0.2500
Er2 Er 0.2503 0.7497 0.2500
Er3 Er 0.4485 0.5515 0.2500
Er4 Er 0.5515 0.4485 0.7500
Er5 Er 0.7497 0.2503 0.7500
Er6 Er 0.9527 0.0473 0.7500
In1 In 0.3466 0.6534 0.7500
In2 In 0.6534 0.3466 0.2500
# energy above the lowest structure with this stoichiometry: 0.00 eV/f.u.
# energy: -22.05 eV per formula unit
# space group: No. 63
# volume: 29.23 A^3/atom

=====

# Pm8Er6In, relaxed, DFT PBE-GGA
data_Pm8Er6In
_chemical_formula_sum 'Pm8 Er6 In1'
_cell_length_a 9.3017
_cell_length_b 9.3017
_cell_length_c 6.5104
_cell_angle_alpha 90.00
_cell_angle_beta 90.00
_cell_angle_gamma 120.00
_symmetry_space_group_name_H-M 'P 1'
_symmetry_Int_Tables_number 1
loop_
_symmetry_equiv_pos_as_xyz
'x,y,z'
loop_
_atom_site_label
_atom_site_type_symbol
_atom_site_fract_x
_atom_site_fract_y
_atom_site_fract_z
Pm1 Pm 0.0413 0.2734 0.3214
Pm2 Pm 0.2321 0.9587 0.3214
Pm3 Pm 0.2734 0.2321 0.6786
Pm4 Pm 0.3333 0.6667 0.3509
Pm5 Pm 0.6667 0.3333 0.6491
Pm6 Pm 0.7266 0.7679 0.3214
Pm7 Pm 0.7679 0.0413 0.6786
Pm8 Pm 0.9587 0.7266 0.6786
Er1 Er 0.0976 0.4471 0.8354
Er2 Er 0.3494 0.9024 0.8354
Er3 Er 0.4471 0.3494 0.1646
Er4 Er 0.5529 0.6506 0.8354
Er5 Er 0.6506 0.0976 0.1646
Er6 Er 0.9024 0.5529 0.1646
In1 In 0.0000 0.0000 0.0000
# energy: -66.90 eV per formula unit
# space group: No. 147
# volume: 32.52 A^3/atom

=====

# Pm2Er6In, relaxed, DFT PBE-GGA
data_Pm2Er6In
_chemical_formula_sum 'Pm2 Er6 In1'
_cell_length_a 9.5557
_cell_length_b 9.5557
_cell_length_c 9.5557
_cell_angle_alpha 159.05
_cell_angle_beta 116.05
_cell_angle_gamma 68.10
_symmetry_space_group_name_H-M 'P 1'
_symmetry_Int_Tables_number 1
loop_
_symmetry_equiv_pos_as_xyz
'x,y,z'
loop_
_atom_site_label
_atom_site_type_symbol
_atom_site_fract_x
_atom_site_fract_y
_atom_site_fract_z
Pm1 Pm 0.1518 0.1518 0.0000
Pm2 Pm 0.8482 0.8482 0.0000
Er1 Er 0.1608 0.8228 0.3380
Er2 Er 0.2045 0.5000 0.7045
Er3 Er 0.4849 0.8228 0.6620
Er4 Er 0.5151 0.1772 0.3380
Er5 Er 0.7955 0.5000 0.2955
Er6 Er 0.8392 0.1772 0.6620
In1 In 0.5000 0.0000 0.5000
# energy: -39.79 eV per formula unit
# space group: No. 71
# volume: 30.93 A^3/atom